Record 1
Tl5Fe3F12 (GGA+U, relaxed); magnetic moment = 13.00 Bohr magnetons per cell; calculated total energy = -93.181 eV/cell; symmetry = P-62m, No. 189
1.0
-1.1789 -0.4581 -3.1198
9.2722 -5.6406 -2.6754
-8.8479 -5.4328 4.1410
F Fe Tl
12 3 5
Direct
0.5000 0.7693 0.2044
0.5000 0.7956 0.5649
0.0000 0.2239 0.2239
0.0000 0.0000 0.7761
0.0000 0.5395 0.0000
0.5000 0.5649 0.7956
0.5000 0.4351 0.2307
0.5000 0.2044 0.7693
0.0000 0.4605 0.4605
0.5000 0.2307 0.4351
0.0000 0.0000 0.5395
0.0000 0.7761 0.0000
0.5000 0.3427 0.3427
0.5000 0.6573 0.0000
0.5000 0.0000 0.6573
0.0000 0.2788 0.0000
0.0000 0.0000 0.2788
0.0000 0.7212 0.7212
0.0000 0.3333 0.6667
0.0000 0.6667 0.3333

Record 2
Tl4Fe6F19 (GGA+U, relaxed); magnetic moment = 27.00 Bohr magnetons per cell; calculated total energy = -145.138 eV/cell; symmetry = I23, No. 197
1.0
8.1111 0.0000 -2.8677
-4.0556 7.0245 -2.8677
0.0000 0.0000 8.6032
F Tl Fe
19 4 6
Direct
0.7144 0.0577 0.3612
0.0000 0.3684 0.3684
0.3532 0.6388 0.6965
0.6388 0.6965 0.3532
0.2856 0.6468 0.3433
0.6965 0.3532 0.6388
0.6567 0.3035 0.9423
0.0000 0.0000 0.0000
0.3433 0.2856 0.6468
0.3035 0.9423 0.6567
0.6316 0.0000 0.6316
0.6468 0.3433 0.2856
0.0577 0.3612 0.7144
0.6316 0.6316 0.0000
0.3612 0.7144 0.0577
0.0000 0.6316 0.6316
0.9423 0.6567 0.3035
0.3684 0.0000 0.3684
0.3684 0.3684 0.0000
0.6969 0.0000 0.0000
0.0000 0.0000 0.6969
0.3031 0.3031 0.3031
0.0000 0.6969 0.0000
0.8413 0.3413 0.5000
0.3413 0.5000 0.8413
0.6587 0.5000 0.1587
0.5000 0.8413 0.3413
0.1587 0.6587 0.5000
0.5000 0.1587 0.6587

Record 3
Tl3Fe5F12 (GGA+U, relaxed); magnetic moment = 83.03 Bohr magnetons per cell; calculated total energy = -395.286 eV/cell; symmetry = Ia-3d, No. 230
1.0
-8.7692 -1.6656 -8.2124
1.4482 -10.1483 6.4832
-3.0611 9.1170 7.3909
F Fe Tl
48 20 12
Direct
0.0877 0.1828 0.1825
0.6828 0.5003 0.5951
0.0951 0.1828 0.5003
0.5948 0.9997 0.1825
0.4123 0.0948 0.5951
0.1825 0.6828 0.0877
0.0951 0.9123 0.0948
0.4123 0.3175 0.3172
0.3172 0.4997 0.4049
0.8172 0.9049 0.9997
0.5948 0.5951 0.9123
0.9123 0.0951 0.5948
0.5003 0.6828 0.0951
0.0003 0.5951 0.1828
0.5003 0.8175 0.9052
0.4997 0.1825 0.0948
0.4052 0.4049 0.0877
0.9997 0.5948 0.6825
0.4997 0.3172 0.9049
0.3172 0.8175 0.4123
0.3175 0.9052 0.0003
0.8172 0.9123 0.3175
0.8175 0.3172 0.9123
0.3175 0.4123 0.8172
0.8175 0.5003 0.4052
0.1825 0.4997 0.5948
0.9049 0.8172 0.4997
0.6825 0.0948 0.9997
0.0003 0.4052 0.3175
0.9123 0.8172 0.8175
0.4049 0.4052 0.5877
0.5951 0.0003 0.6828
0.5951 0.5948 0.4123
0.9997 0.4049 0.8172
0.0948 0.6825 0.4997
0.6825 0.5877 0.1828
0.0877 0.9049 0.4052
0.0948 0.4123 0.0951
0.9052 0.3175 0.5003
0.9052 0.5877 0.9049
0.5877 0.9052 0.4049
0.4049 0.9997 0.3172
0.9049 0.0877 0.9052
0.1828 0.0951 0.0003
0.4052 0.0003 0.8175
0.1828 0.0877 0.6825
0.6828 0.1825 0.5877
0.5877 0.6825 0.6828
0.8750 0.2500 0.6250
0.6250 0.8750 0.2500
0.1250 0.3750 0.2500
0.0000 0.5000 0.5000
0.2500 0.3750 0.6250
0.7500 0.6250 0.3750
0.0000 0.0000 0.0000
0.5000 0.5000 0.0000
0.8750 0.6250 0.7500
0.6250 0.7500 0.8750
0.0000 0.5000 0.0000
0.2500 0.8750 0.1250
0.5000 0.0000 0.0000
0.1250 0.7500 0.3750
0.3750 0.1250 0.7500
0.5000 0.5000 0.5000
0.0000 0.0000 0.5000
0.3750 0.2500 0.1250
0.5000 0.0000 0.5000
0.7500 0.1250 0.8750
0.6250 0.2500 0.3750
0.2500 0.1250 0.3750
0.7500 0.3750 0.1250
0.7500 0.8750 0.6250
0.3750 0.6250 0.2500
0.1250 0.2500 0.8750
0.2500 0.6250 0.8750
0.8750 0.1250 0.2500
0.6250 0.3750 0.7500
0.3750 0.7500 0.6250
0.8750 0.7500 0.1250
0.1250 0.8750 0.7500

Record 4
TlFe3F (GGA+U, relaxed); magnetic moment = 12.00 Bohr magnetons per cell; calculated total energy = -16.520 eV/cell; symmetry = Pm-3m, No. 221
1.0
-4.8317 1.9346 0.1619
-0.4446 -1.5253 4.9589
1.8898 4.5875 1.5805
Tl Fe F
1 3 1
Direct
0.0000 0.0000 0.0000
0.5000 0.0000 0.0000
0.0000 0.0000 0.5000
0.0000 0.5000 0.0000
0.5000 0.5000 0.5000

Record 5
TlFe3F9 (GGA+U, relaxed); magnetic moment = 14.00 Bohr magnetons per cell; calculated total energy = -66.705 eV/cell; symmetry = P6/mmm, No. 191
1.0
-1.1794 1.7803 -3.3237
-4.3050 -6.0426 -1.7091
-2.9172 5.7160 4.0969
F Fe Tl
9 3 1
Direct
0.5000 0.5920 0.7960
0.0000 0.0000 0.5000
0.0000 0.5000 0.0000
0.0000 0.5000 0.5000
0.5000 0.7960 0.2040
0.5000 0.7960 0.5920
0.5000 0.4080 0.2040
0.5000 0.2040 0.4080
0.5000 0.2040 0.7960
0.5000 0.5000 0.5000
0.5000 0.0000 0.5000
0.5000 0.5000 0.0000
0.0000 0.0000 0.0000

Record 6
Tl2FeF5 (GGA+U, relaxed); magnetic moment = 5.00 Bohr magnetons per cell; calculated total energy = -37.074 eV/cell; symmetry = P4/mmm, No. 123
1.0
-1.5929 2.2546 2.8982
-5.1805 -3.6568 -0.0026
2.6464 -3.7522 4.3735
F Tl Fe
5 2 1
Direct
0.5000 0.0000 0.0000
0.0000 0.7835 0.7835
0.0000 0.2165 0.7835
0.0000 0.2165 0.2165
0.0000 0.7835 0.2165
0.5000 0.5000 0.0000
0.5000 0.0000 0.5000
0.0000 0.0000 0.0000

Record 7
Tl3FeF (GGA+U, relaxed); magnetic moment = 3.12 Bohr magnetons per cell; calculated total energy = -14.408 eV/cell; symmetry = Pm-3m, No. 221
1.0
5.1485 0.0000 0.0000
0.0000 5.1485 0.0000
0.0000 0.0000 5.1485
Tl Fe F
3 1 1
Direct
0.0000 0.0000 0.5000
0.5000 0.0000 0.0000
0.0000 0.5000 0.0000
0.5000 0.5000 0.5000
0.0000 0.0000 0.0000

Record 8
TlFe2F (GGA+U, relaxed); magnetic moment = 13.89 Bohr magnetons per cell; calculated total energy = -31.766 eV/cell; symmetry = I-42d, No. 122
1.0
-0.5786 -3.6340 5.6052
5.8608 -2.9759 -1.3244
4.1931 -0.9882 3.8026
F Fe Tl
2 4 2
Direct
0.5000 0.5000 0.0000
0.2500 0.7500 0.5000
0.5520 0.1250 0.2500
0.3750 0.4480 0.7500
0.8750 0.8020 0.7500
0.1980 0.6250 0.2500
0.7500 0.2500 0.5000
0.0000 0.0000 0.0000